[1]
# K2Tl3SbSe6 (GGA-PBE, optimized geometry)
data_K2Tl3SbSe6
_symmetry_space_group_name_H-M 'C 1 2/m 1'
_symmetry_Int_Tables_number 12
_symmetry_space_group_name_Hall '-C 2y'
_cell_length_a 7.991
_cell_length_b 14.007
_cell_length_c 7.369
_cell_angle_alpha 90.00
_cell_angle_beta 116.49
_cell_angle_gamma 90.00
loop_
_atom_site_label
_atom_site_type_symbol
_atom_site_fract_x
_atom_site_fract_y
_atom_site_fract_z
K1 K 0.000 0.170 0.000
Tl1 Tl 0.000 0.000 0.500
Tl2 Tl 0.000 0.338 0.500
Sb1 Sb 0.000 0.500 0.000
Se1 Se 0.202 0.500 0.779
Se2 Se 0.241 0.362 0.248
# Total moment (μB/cell): 0.00
# Calculated total energy (eV/cell): -79.6
# Crystal system: monoclinic

***

[2]
# K3Tl3SbSe8 (GGA-PBE, optimized geometry)
data_K3Tl3SbSe8
_symmetry_space_group_name_H-M 'R -3 m'
_symmetry_Int_Tables_number 166
_symmetry_space_group_name_Hall '-R 3 2"'
_cell_length_a 8.2714
_cell_length_b 8.2714
_cell_length_c 23.8066
_cell_angle_alpha 90.00
_cell_angle_beta 90.00
_cell_angle_gamma 120.00
loop_
_atom_site_label
_atom_site_type_symbol
_atom_site_fract_x
_atom_site_fract_y
_atom_site_fract_z
K1 K 0.0000 0.5000 0.0000
Tl1 Tl 0.0000 0.5000 0.5000
Sb1 Sb 0.0000 0.0000 0.5000
Se1 Se 0.0000 0.0000 0.2331
Se2 Se 0.0080 0.5040 0.2339
# Total moment (μB/cell): 0.00
# Calculated total energy (eV/cell): -149.1
# Crystal system: trigonal

***

[3]
# KTlSbSe3 (GGA-PBE, optimized geometry)
data_KTlSbSe3
_symmetry_space_group_name_H-M 'P 1 21/m 1'
_symmetry_Int_Tables_number 11
_symmetry_space_group_name_Hall '-P 2yb'
_cell_length_a 9.341
_cell_length_b 4.280
_cell_length_c 11.150
_cell_angle_alpha 90.00
_cell_angle_beta 96.09
_cell_angle_gamma 90.00
loop_
_atom_site_label
_atom_site_type_symbol
_atom_site_fract_x
_atom_site_fract_y
_atom_site_fract_z
K1 K 0.142 0.250 0.186
Tl1 Tl 0.139 0.250 0.594
Sb1 Sb 0.363 0.750 0.881
Se1 Se 0.161 0.250 0.878
Se2 Se 0.178 0.750 0.428
Se3 Se 0.405 0.750 0.114
# Total moment (μB/cell): 1.58
# Calculated total energy (eV/cell): -41.7
# Crystal system: monoclinic

***

[4]
# KTl2SbSe4 (GGA-PBE, optimized geometry)
data_KTl2SbSe4
_symmetry_space_group_name_H-M 'I m m a'
_symmetry_Int_Tables_number 74
_symmetry_space_group_name_Hall '-I 2b 2'
_cell_length_a 8.654
_cell_length_b 8.733
_cell_length_c 12.383
_cell_angle_alpha 90.00
_cell_angle_beta 90.00
_cell_angle_gamma 90.00
loop_
_atom_site_label
_atom_site_type_symbol
_atom_site_fract_x
_atom_site_fract_y
_atom_site_fract_z
K1 K 0.250 0.250 0.250
Tl1 Tl 0.000 0.000 0.000
Tl2 Tl 0.250 0.250 0.750
Sb1 Sb 0.000 0.000 0.500
Se1 Se 0.000 0.027 0.737
Se2 Se 0.228 0.250 0.510
# Total moment (μB/cell): 0.00
# Calculated total energy (eV/cell): -109.8
# Crystal system: orthorhombic